Compound: Li4Ti3V2Sn3O16
Source: Alexandria via LeMat-Bulk
Functional: GGA+U
Structure: relaxed

Cell lengths 6.150, 6.150, 9.915 Å; angles 90.40, 90.40, 59.71 degrees
Positions (direct):
Li: 0.000 0.000 0.000
Li: 0.005 0.005 0.495
Li: 0.323 0.323 0.385
Li: 0.656 0.656 0.891
Ti: 0.159 0.159 0.718
Ti: 0.330 0.824 0.214
Ti: 0.824 0.330 0.214
V: 0.322 0.322 0.990
V: 0.655 0.655 0.483
Sn: 0.160 0.654 0.712
Sn: 0.654 0.160 0.712
Sn: 0.823 0.823 0.211
O: 0.025 0.466 0.832
O: 0.151 0.151 0.110
O: 0.159 0.679 0.103
O: 0.310 0.844 0.606
O: 0.317 0.317 0.597
O: 0.466 0.025 0.832
O: 0.473 0.473 0.837
O: 0.501 0.956 0.330
O: 0.511 0.511 0.325
O: 0.650 0.650 0.102
O: 0.679 0.159 0.103
O: 0.837 0.837 0.593
O: 0.844 0.310 0.606
O: 0.956 0.501 0.330
O: 0.997 0.997 0.818
O: 0.999 0.999 0.313

total magnetic moment	6.0	μB per cell
VASP energy	-7.084	eV/atom